[1]
# AuSN2O | the Alexandria database | PBE | optimized geometry
data_AuSN2O
_chemical_formula_sum 'Au1 S1 N2 O1'
_cell_length_a 3.823
_cell_length_b 3.823
_cell_length_c 4.142
_cell_angle_alpha 90.00
_cell_angle_beta 90.00
_cell_angle_gamma 90.00
_space_group_name_H-M_alt 'P 1'
_space_group_IT_number 1
loop_
_space_group_symop_operation_xyz
'x,y,z'
loop_
_atom_site_label
_atom_site_type_symbol
_atom_site_fract_x
_atom_site_fract_y
_atom_site_fract_z
S1 S 0.000 0.000 0.500
Au1 Au 0.500 0.500 0.500
O1 O 0.000 0.000 0.000
N1 N 0.000 0.500 0.000
N2 N 0.500 0.000 0.000
# Formation energy from raw total energies in eV/atom: 2.25
# Magnetization in μB per cell: 2.82
# Crystal system: tetragonal

[2]
# TcGe3Ir | the Alexandria database | PBE | optimized geometry
data_TcGe3Ir
_chemical_formula_sum 'Tc2 Ge6 Ir2'
_cell_length_a 3.656
_cell_length_b 7.122
_cell_length_c 7.121
_cell_angle_alpha 65.86
_cell_angle_beta 104.88
_cell_angle_gamma 104.88
_space_group_name_H-M_alt 'P 1'
_space_group_IT_number 1
loop_
_space_group_symop_operation_xyz
'x,y,z'
loop_
_atom_site_label
_atom_site_type_symbol
_atom_site_fract_x
_atom_site_fract_y
_atom_site_fract_z
Tc1 Tc 0.969 0.178 0.617
Tc2 Tc 0.516 0.726 0.165
Ge1 Ge 0.630 0.340 0.779
Ge2 Ge 0.854 0.565 0.003
Ge3 Ge 0.391 0.321 0.318
Ge4 Ge 0.391 0.880 0.760
Ge5 Ge 0.094 0.025 0.022
Ge6 Ge 0.094 0.583 0.464
Ir1 Ir 0.742 0.777 0.566
Ir2 Ir 0.742 0.127 0.216
# Total energy in eV/cell: -67.7
# Magnetization in μB per cell: 0.00
# Crystal system: orthorhombic

[3]
# TiCu2Te4 | the Alexandria database | PBE | optimized geometry
data_TiCu2Te4
_chemical_formula_sum 'Ti2 Cu4 Te8'
_cell_length_a 8.200
_cell_length_b 7.428
_cell_length_c 7.548
_cell_angle_alpha 117.56
_cell_angle_beta 110.10
_cell_angle_gamma 98.73
_space_group_name_H-M_alt 'P 1'
_space_group_IT_number 1
loop_
_space_group_symop_operation_xyz
'x,y,z'
loop_
_atom_site_label
_atom_site_type_symbol
_atom_site_fract_x
_atom_site_fract_y
_atom_site_fract_z
Ti1 Ti 0.125 0.612 0.512
Ti2 Ti 0.140 0.128 0.013
Cu1 Cu 0.667 0.413 0.761
Cu2 Cu 0.673 0.910 0.251
Cu3 Cu 0.506 0.355 0.161
Cu4 Cu 0.133 0.379 0.763
Te1 Te 0.957 0.169 0.267
Te2 Te 0.292 0.581 0.238
Te3 Te 0.951 0.677 0.775
Te4 Te 0.826 0.119 0.701
Te5 Te 0.452 0.128 0.322
Te6 Te 0.293 0.061 0.721
Te7 Te 0.442 0.629 0.814
Te8 Te 0.794 0.588 0.201
# Formation energy from raw total energies in eV/atom: -0.24
# Magnetization in μB per cell: 0.00
# Crystal system: triclinic

[4]
# B7Pd12Pt | the Alexandria database | PBE | optimized geometry
data_B7Pd12Pt
_chemical_formula_sum 'B7 Pd12 Pt1'
_cell_length_a 6.839
_cell_length_b 6.839
_cell_length_c 6.839
_cell_angle_alpha 108.06
_cell_angle_beta 108.06
_cell_angle_gamma 108.06
_space_group_name_H-M_alt 'P 1'
_space_group_IT_number 1
loop_
_space_group_symop_operation_xyz
'x,y,z'
loop_
_atom_site_label
_atom_site_type_symbol
_atom_site_fract_x
_atom_site_fract_y
_atom_site_fract_z
B1 B 0.939 0.625 0.848
B2 B 0.375 0.152 0.061
B3 B 0.152 0.061 0.375
B4 B 0.500 0.500 0.500
B5 B 0.848 0.939 0.625
B6 B 0.625 0.848 0.939
B7 B 0.061 0.375 0.152
Pd1 Pd 0.937 0.304 0.796
Pd2 Pd 0.696 0.204 0.063
Pd3 Pd 0.489 0.162 0.398
Pd4 Pd 0.838 0.602 0.511
Pd5 Pd 0.204 0.063 0.696
Pd6 Pd 0.602 0.511 0.838
Pd7 Pd 0.398 0.489 0.162
Pd8 Pd 0.796 0.937 0.304
Pd9 Pd 0.162 0.398 0.489
Pd10 Pd 0.511 0.838 0.602
Pd11 Pd 0.304 0.796 0.937
Pd12 Pd 0.063 0.696 0.204
Pt1 Pt 0.000 0.000 0.000
# Total energy in eV/cell: -117.2
# Magnetization in μB per cell: 0.00
# Crystal system: trigonal

[5]
# In3Bi3Br | the Alexandria database | PBE | optimized geometry
data_In3Bi3Br
_chemical_formula_sum 'In6 Bi6 Br2'
_cell_length_a 8.316
_cell_length_b 8.316
_cell_length_c 8.316
_cell_angle_alpha 90.00
_cell_angle_beta 90.00
_cell_angle_gamma 90.00
_space_group_name_H-M_alt 'P 1'
_space_group_IT_number 1
loop_
_space_group_symop_operation_xyz
'x,y,z'
loop_
_atom_site_label
_atom_site_type_symbol
_atom_site_fract_x
_atom_site_fract_y
_atom_site_fract_z
Bi1 Bi 0.000 0.250 0.500
Bi2 Bi 0.000 0.750 0.500
Bi3 Bi 0.500 0.000 0.750
Bi4 Bi 0.750 0.500 0.000
Bi5 Bi 0.500 0.000 0.250
Bi6 Bi 0.250 0.500 0.000
Br1 Br 0.500 0.500 0.500
Br2 Br 0.000 0.000 0.000
In1 In 0.250 0.000 0.500
In2 In 0.000 0.500 0.250
In3 In 0.500 0.750 0.000
In4 In 0.750 0.000 0.500
In5 In 0.000 0.500 0.750
In6 In 0.500 0.250 0.000
# Formation energy from raw total energies in eV/atom: 0.06
# Magnetization in μB per cell: 0.00
# Crystal system: cubic

[6]
# Y8HoTm4 | the Alexandria database | PBE | optimized geometry
data_Y8HoTm4
_chemical_formula_sum 'Y8 Ho1 Tm4'
_cell_length_a 7.235
_cell_length_b 7.235
_cell_length_c 10.074
_cell_angle_alpha 90.00
_cell_angle_beta 111.04
_cell_angle_gamma 120.00
_space_group_name_H-M_alt 'P 1'
_space_group_IT_number 1
loop_
_space_group_symop_operation_xyz
'x,y,z'
loop_
_atom_site_label
_atom_site_type_symbol
_atom_site_fract_x
_atom_site_fract_y
_atom_site_fract_z
Y1 Y 0.570 0.785 0.356
Y2 Y 0.430 0.215 0.644
Y3 Y 0.500 0.250 0.298
Y4 Y 0.952 0.202 0.702
Y5 Y 0.500 0.750 0.702
Y6 Y 0.952 0.750 0.702
Y7 Y 0.048 0.250 0.298
Y8 Y 0.048 0.798 0.298
Ho1 Ho 0.000 0.500 0.500
Tm1 Tm 0.000 0.000 0.000
Tm2 Tm 0.000 0.500 0.000
Tm3 Tm 0.500 0.500 0.000
Tm4 Tm 0.500 0.000 0.000
# Total energy in eV/cell: -71.2
# Magnetization in μB per cell: 0.00
# Crystal system: trigonal

[7]
# In2PdPt2 | the Alexandria database | PBE | optimized geometry
data_In2PdPt2
_chemical_formula_sum 'In2 Pd1 Pt2'
_cell_length_a 4.261
_cell_length_b 4.261
_cell_length_c 6.478
_cell_angle_alpha 70.80
_cell_angle_beta 70.80
_cell_angle_gamma 90.00
_space_group_name_H-M_alt 'P 1'
_space_group_IT_number 1
loop_
_space_group_symop_operation_xyz
'x,y,z'
loop_
_atom_site_label
_atom_site_type_symbol
_atom_site_fract_x
_atom_site_fract_y
_atom_site_fract_z
Pd1 Pd 0.000 0.000 0.000
Pt1 Pt 0.390 0.390 0.220
Pt2 Pt 0.610 0.610 0.780
In1 In 0.750 0.250 0.500
In2 In 0.250 0.750 0.500
# Total energy in eV/cell: -22.9
# Magnetization in μB per cell: 0.00
# Crystal system: tetragonal

[8]
# CaSi | the Alexandria database | PBE | optimized geometry
data_CaSi
_chemical_formula_sum 'Ca2 Si2'
_cell_length_a 3.902
_cell_length_b 4.548
_cell_length_c 5.820
_cell_angle_alpha 113.00
_cell_angle_beta 90.00
_cell_angle_gamma 90.00
_space_group_name_H-M_alt 'P 1'
_space_group_IT_number 1
loop_
_space_group_symop_operation_xyz
'x,y,z'
loop_
_atom_site_label
_atom_site_type_symbol
_atom_site_fract_x
_atom_site_fract_y
_atom_site_fract_z
Ca1 Ca 0.250 0.361 0.722
Ca2 Ca 0.750 0.639 0.278
Si1 Si 0.250 0.069 0.138
Si2 Si 0.750 0.931 0.862
# Formation energy from raw total energies in eV/atom: -0.54
# Magnetization in μB per cell: 0.00
# Crystal system: orthorhombic

[9]
# Li2FeRh | the Alexandria database | PBE | optimized geometry
data_Li2FeRh
_chemical_formula_sum 'Li2 Fe1 Rh1'
_cell_length_a 9.126
_cell_length_b 9.126
_cell_length_c 9.126
_cell_angle_alpha 16.49
_cell_angle_beta 16.49
_cell_angle_gamma 16.49
_space_group_name_H-M_alt 'P 1'
_space_group_IT_number 1
loop_
_space_group_symop_operation_xyz
'x,y,z'
loop_
_atom_site_label
_atom_site_type_symbol
_atom_site_fract_x
_atom_site_fract_y
_atom_site_fract_z
Fe1 Fe 0.250 0.250 0.250
Li1 Li 0.003 0.003 0.003
Li2 Li 0.497 0.497 0.497
Rh1 Rh 0.750 0.750 0.750
# Total energy in eV/cell: -19.5
# Magnetization in μB per cell: 2.36
# Crystal system: trigonal

[10]
# TaTe4Os | the Alexandria database | PBE | optimized geometry
data_TaTe4Os
_chemical_formula_sum 'Ta1 Te4 Os1'
_cell_length_a 3.762
_cell_length_b 7.504
_cell_length_c 6.256
_cell_angle_alpha 106.26
_cell_angle_beta 90.00
_cell_angle_gamma 104.56
_space_group_name_H-M_alt 'P 1'
_space_group_IT_number 1
loop_
_space_group_symop_operation_xyz
'x,y,z'
loop_
_atom_site_label
_atom_site_type_symbol
_atom_site_fract_x
_atom_site_fract_y
_atom_site_fract_z
Ta1 Ta 0.492 0.984 0.569
Te1 Te 0.852 0.704 0.572
Te2 Te 0.102 0.204 0.391
Te3 Te 0.404 0.808 0.088
Te4 Te 0.642 0.284 0.942
Os1 Os 0.008 0.016 0.937
# Formation energy from raw total energies in eV/atom: -0.22
# Magnetization in μB per cell: 0.00
# Crystal system: monoclinic

[11]
# Mg3As3Rh2 | the Alexandria database | PBE | optimized geometry
data_Mg3As3Rh2
_chemical_formula_sum 'Mg12 As12 Rh8'
_cell_length_a 5.315
_cell_length_b 6.888
_cell_length_c 15.827
_cell_angle_alpha 90.00
_cell_angle_beta 90.00
_cell_angle_gamma 90.00
_space_group_name_H-M_alt 'P 1'
_space_group_IT_number 1
loop_
_space_group_symop_operation_xyz
'x,y,z'
loop_
_atom_site_label
_atom_site_type_symbol
_atom_site_fract_x
_atom_site_fract_y
_atom_site_fract_z
Mg1 Mg 0.095 0.486 0.382
Mg2 Mg 0.595 0.014 0.618
Mg3 Mg 0.905 0.514 0.882
Mg4 Mg 0.405 0.986 0.118
Mg5 Mg 0.905 0.514 0.618
Mg6 Mg 0.405 0.986 0.382
Mg7 Mg 0.095 0.486 0.118
Mg8 Mg 0.595 0.014 0.882
Mg9 Mg 0.647 0.323 0.250
Mg10 Mg 0.147 0.177 0.750
Mg11 Mg 0.353 0.677 0.750
Mg12 Mg 0.853 0.823 0.250
As1 As 0.152 0.172 0.250
As2 As 0.652 0.328 0.750
As3 As 0.848 0.828 0.750
As4 As 0.348 0.672 0.250
As5 As 0.638 0.316 0.473
As6 As 0.138 0.184 0.527
As7 As 0.362 0.684 0.973
As8 As 0.862 0.816 0.027
As9 As 0.362 0.684 0.527
As10 As 0.862 0.816 0.473
As11 As 0.638 0.316 0.027
As12 As 0.138 0.184 0.973
Rh1 Rh 0.912 0.109 0.380
Rh2 Rh 0.412 0.391 0.620
Rh3 Rh 0.088 0.891 0.880
Rh4 Rh 0.588 0.609 0.120
Rh5 Rh 0.088 0.891 0.620
Rh6 Rh 0.588 0.609 0.380
Rh7 Rh 0.912 0.109 0.120
Rh8 Rh 0.412 0.391 0.880
# Total energy in eV/cell: -148.5
# Magnetization in μB per cell: 0.00
# Crystal system: orthorhombic

[12]
# GaAsCF2 | the Alexandria database | PBE | optimized geometry
data_GaAsCF2
_chemical_formula_sum 'Ga1 As1 C1 F2'
_cell_length_a 3.846
_cell_length_b 4.477
_cell_length_c 3.846
_cell_angle_alpha 90.00
_cell_angle_beta 90.00
_cell_angle_gamma 90.00
_space_group_name_H-M_alt 'P 1'
_space_group_IT_number 1
loop_
_space_group_symop_operation_xyz
'x,y,z'
loop_
_atom_site_label
_atom_site_type_symbol
_atom_site_fract_x
_atom_site_fract_y
_atom_site_fract_z
As1 As 0.000 0.500 0.000
C1 C 0.000 0.000 0.000
Ga1 Ga 0.500 0.500 0.500
F1 F 0.000 0.000 0.500
F2 F 0.500 0.000 0.000
# Formation energy from raw total energies in eV/atom: 0.11
# Magnetization in μB per cell: 0.00
# Crystal system: tetragonal